Record 1
Er2HgSb | PBE-GGA | relaxed

```
12
Lattice="4.8147 0.0000 0.0000 -2.4073 4.1696 0.0000 0.0000 0.0000 16.3060" Properties=species:S:1:pos:R:3 pbc="T T T"
Er 0.0000 0.0000 4.0329
Er 0.0000 0.0000 12.2731
Er 0.0000 2.7798 6.8378
Er 0.0000 2.7798 14.9036
Er 2.4073 1.3899 1.4024
Er 2.4073 1.3899 9.4682
Hg 0.0000 0.0000 8.1530
Hg 0.0000 2.7798 2.7177
Hg 2.4073 1.3899 13.5884
Sb 0.0000 0.0000 0.0000
Sb 0.0000 2.7798 10.8707
Sb 2.4073 1.3899 5.4353
```

Properties
Formation energy from raw total energies, eV/atom: -0.59
Fermi-level density of states, states/eV per atom: 1.054
SG: No. 166

***

Record 2
Pr2InSi | PBE-GGA | relaxed

```
16
Lattice="6.9791 0.0000 0.0000 0.0000 4.5866 0.0000 0.0000 0.0000 14.0074" Properties=species:S:1:pos:R:3 pbc="T T T"
Pr 0.0000 0.0000 0.0000
Pr 0.0000 0.0000 3.6118
Pr 0.0000 2.2933 7.0037
Pr 0.0000 2.2933 10.6155
Pr 3.4895 0.0000 2.2310
Pr 3.4895 0.0000 6.3368
Pr 3.4895 2.2933 9.2347
Pr 3.4895 2.2933 13.3405
In 2.0665 0.0000 11.4382
In 2.0665 2.2933 4.4345
In 4.9126 0.0000 11.4382
In 4.9126 2.2933 4.4345
Si 1.2685 0.0000 8.6922
Si 1.2685 2.2933 1.6885
Si 5.7106 0.0000 8.6922
Si 5.7106 2.2933 1.6885
```

Properties
Formation energy from raw total energies, eV/atom: -0.57
Fermi-level density of states, states/eV per atom: 0.835
SG: No. 38

***

Record 3
NaGa2C2O7 | PBE-GGA | relaxed

```
12
Lattice="2.4168 1.3953 8.7718 -2.4168 1.3953 8.7718 0.0000 -2.7906 8.7718" Properties=species:S:1:pos:R:3 pbc="T T T"
Na 0.0000 0.0000 0.0000
Ga 0.0000 0.0000 11.3662
Ga 0.0000 0.0000 14.9491
C 0.0000 0.0000 7.1776
C 0.0000 0.0000 19.1376
O -1.1165 -1.3223 10.3665
O -0.5869 -1.6281 15.9488
O -0.5869 1.6281 10.3665
O 0.0000 0.0000 13.1576
O -1.1165 1.3223 15.9488
O 1.7034 -0.3057 10.3665
O 1.7034 0.3057 15.9488
```

Properties
Formation energy from raw total energies, eV/atom: -1.43
Fermi-level density of states, states/eV per atom: 0.098
SG: No. 155

***

Record 4
Ba3BiSb2Au6 | PBE-GGA | relaxed

```
12
Lattice="6.7897 0.0000 0.0000 -3.3948 5.8800 0.0000 0.0000 0.0000 9.1589" Properties=species:S:1:pos:R:3 pbc="T T T"
Ba 0.0000 0.0000 0.0000
Ba 0.0000 3.9200 5.8767
Ba 3.3948 1.9600 3.2822
Bi 0.0000 0.0000 4.5795
Sb 0.0000 3.9200 0.5255
Sb 3.3948 1.9600 8.6334
Au 0.0000 2.1437 2.6287
Au -1.5384 4.8082 2.6287
Au 1.8565 1.0718 6.5302
Au 1.5384 4.8082 2.6287
Au 4.9332 1.0718 6.5302
Au 3.3948 3.7364 6.5302
```

Properties
Formation energy from raw total energies, eV/atom: -0.49
Fermi-level density of states, states/eV per atom: 0.725
SG: No. 164